This record from Alexandria describes Tb3CeRu2 after structural relaxation. The functional is PBE.

Cell: 16.1045 4.1667 10.9110 Å, 90.00 117.09 90.00°
Last column: nearest neighbours and their distance in Å.
Space group C2/m (No. 12)
Asymmetric unit:
1 Tb 0.0582 0.0000 0.2020 x4  3 Ru 2.85-2.92
2 Tb 0.1695 0.5000 0.0312 x4  3 Ru 2.84-2.88
3 Tb 0.2068 0.0000 0.5923 x4  3 Ru 2.84-2.89
4 Ce 0.0589 0.5000 0.6697 x4  3 Ru 2.50-2.63
5 Ru 0.1122 0.5000 0.4024 x4  1 Ce 2.50
6 Ru 0.1323 0.0000 0.8309 x4  2 Ce 2.63, 4 Tb 2.84-2.92

Properties
energy above the most stable polymorph in this dataset: 73 meV/atom

***

This record from Alexandria describes Tb3Ce2Ru4 after structural relaxation. The functional is PBE.

Cell: 14.8915 9.1804 5.8935 Å, 90.00 96.51 90.00°
Last column: nearest neighbours and their distance in Å.
Space group C2/c (No. 15)
Asymmetric unit:
1 Tb 0.0000 0.0698 0.2500 x4  4 Ru 2.99-3.31, 2 Tb 3.21, 2 Ce 3.33
2 Tb 0.0997 0.3989 0.4191 x8  3 Ru 2.79-3.05
3 Ce 0.2030 0.1092 0.0731 x8  2 Ru 2.35-2.62
4 Ru 0.0665 0.2728 0.9097 x8  1 Ru 2.57, 1 Ce 2.62
5 Ru 0.1879 0.1458 0.5836 x8  1 Ce 2.35

Properties
energy above the most stable polymorph in this dataset: 43 meV/atom

***

This record from Alexandria describes TbCe3Ru4 after structural relaxation. The functional is PBE.

Cell: 5.0523 5.0523 22.4733 Å, 90.00 90.00 120.00°
Last column: nearest neighbours and their distance in Å.
Space group R-3m (No. 166, hexagonal axes)
Asymmetric unit:
1 Tb 0.0000 0.0000 0.0000 x3  8 Ru 3.01-3.08
2 Ce 0.0000 0.0000 0.2512 x6  2 Ru 2.57-2.58
3 Ce 0.0000 0.0000 0.5000 x3  8 Ru 2.99-3.01
4 Ru 0.0000 0.0000 0.1370 x6  1 Ce 2.57
5 Ru 0.0000 0.0000 0.3662 x6  1 Ce 2.58

Properties
total DFT energy (no corrections): -7.77 eV per atom

***

This record from Alexandria describes Tb3Ce4Ru4 after structural relaxation. The functional is PBE.

Cell: 3.6328 9.5506 14.7530 Å, 90.00 90.00 90.00°
Last column: nearest neighbours and their distance in Å.
Space group Immm (No. 71)
Asymmetric unit:
1 Tb 0.0000 0.0000 0.0000 x2  6 Ru 3.13-3.28
2 Tb 0.0000 0.5000 0.1127 x4  6 Ru 3.16-3.20, 1 Tb 3.33, 4 Ce 3.50
3 Ce 0.0000 0.3037 0.3366 x8  3 Ru 2.56-2.71
4 Ru 0.0000 0.0000 0.2119 x4  4 Ce 2.71
5 Ru 0.0000 0.2145 0.5000 x4  2 Ce 2.56

Properties
total DFT energy (no corrections): -7.10 eV per atom

***

This record from Alexandria describes Tb2CeRu after structural relaxation. The functional is PBE.

Cell: 3.7877 11.9860 9.5539 Å, 90.00 90.00 90.00°
Last column: nearest neighbours and their distance in Å.
Space group Cmcm (No. 63)
Asymmetric unit:
1 Tb 0.0000 0.1423 0.0689 x8  3 Ru 2.99-3.22
2 Ce 0.0000 0.4164 0.2500 x4  2 Ru 2.58
3 Ru 0.0000 0.2301 0.7500 x4  2 Ce 2.58

Properties
energy above the most stable polymorph in this dataset: 38 meV/atom

***

This record from Alexandria describes Tb5Ce2Ru5 after structural relaxation. The functional is PBE.

Cell: 14.3273 3.5133 11.7632 Å, 90.00 105.99 90.00°
Last column: nearest neighbours and their distance in Å.
Space group C2/m (No. 12)
Asymmetric unit:
1 Tb 0.0000 0.0000 0.0000 x2  4 Ru 2.88
2 Tb 0.1649 0.0000 0.5564 x4  5 Ru 2.87-3.04
3 Tb 0.2341 0.5000 0.1332 x4  5 Ru 2.92-2.93
4 Ce 0.0220 0.5000 0.2863 x4  2 Ru 2.39-2.62
5 Ru 0.0000 0.5000 0.5000 x2  2 Ce 2.62, 4 Tb 2.87
6 Ru 0.1090 0.5000 0.8906 x4  1 Ce 2.39
7 Ru 0.1793 0.0000 0.3035 x4  2 Ce 2.82, 5 Tb 2.93-3.04

Properties
energy above the most stable polymorph in this dataset: 0 meV/atom

***

This record from Alexandria describes TbCe5Ru6 after structural relaxation. The functional is PBE.

Cell: 8.1914 14.4532 4.9797 Å, 90.00 123.43 90.00°
Last column: nearest neighbours and their distance in Å.
Space group C2/m (No. 12)
Asymmetric unit:
1 Tb 0.0000 0.0000 0.0000 x2  8 Ru 3.04-3.06
2 Ce 0.0000 0.1637 0.5000 x4  6 Ru 2.85-2.95
3 Ce 0.0000 0.3313 0.0000 x4  8 Ru 2.93-3.01
4 Ce 0.0000 0.5000 0.5000 x2  6 Ru 2.79-2.94
5 Ru 0.2377 0.3308 0.7060 x8  6 Ce 2.85-3.01, 1 Tb 3.04, 1 Ru 3.19
6 Ru 0.2421 0.5000 0.2684 x4  5 Ce 2.79-2.96, 2 Tb 3.04-3.06

Properties
total DFT energy (no corrections): -7.82 eV per atom

***

This record from Alexandria describes Tb3Ce2Ru4 after structural relaxation. The functional is PBE.

Cell: 14.3549 9.9908 5.9400 Å, 90.00 102.33 90.00°
Last column: nearest neighbours and their distance in Å.
Space group C2/c (No. 15)
Asymmetric unit:
1 Tb 0.0000 0.1288 0.2500 x4  4 Ru 2.82-2.95
2 Tb 0.0964 0.3917 0.6001 x8  6 Ru 2.96-3.27
3 Ce 0.1889 0.1012 0.9660 x8  2 Ru 2.39-2.55
4 Ru 0.1260 0.3150 0.1160 x8  1 Ce 2.55, 1 Tb 2.82
5 Ru 0.2018 0.1371 0.4923 x8  1 Ce 2.39, 1 Ru 2.64

Properties
energy above the most stable polymorph in this dataset: 0 meV/atom

***

no.,density of states at the Fermi level (states/eV per atom)
1,0.90
2,0.73
3,0.76
4,1.28
5,1.68
6,0.56
7,0.89
8,0.58